# 1
Ho4Zn3Rh: optimized geometry, PBE.

a = 3.5281 Å, b = 3.5281 Å, c = 13.9840 Å
α = 90.00°, β = 90.00°, γ = 90.00°
Space group P4/mmm (No. 123)
Unique sites:
1 Ho 0.0000 0.0000 0.1155 (multiplicity 2)
2 Ho 0.0000 0.0000 0.3725 (multiplicity 2)
3 Zn 0.5000 0.5000 0.2472 (multiplicity 2)
4 Zn 0.5000 0.5000 0.5000 (multiplicity 1)
5 Rh 0.5000 0.5000 0.0000 (multiplicity 1)

Computed properties:
formation energy = -0.49 eV/atom
DFT total energy = -4.1801 eV per atom
total moment = 0.000 μB per atom

# 2
CsNbTe4: optimized geometry, PBE.

a = 17.7633 Å, b = 8.6794 Å, c = 6.1006 Å
α = 90.00°, β = 94.88°, γ = 90.00°
Space group C2/m (No. 12)
Unique sites:
1 Cs 0.1863 0.0000 0.1970 (multiplicity 4)
2 Nb 0.0156 0.5000 0.2688 (multiplicity 4)
3 Te 0.0000 0.2337 0.0000 (multiplicity 4)
4 Te 0.0995 0.2999 0.6096 (multiplicity 8)
5 Te 0.1771 0.5000 0.2679 (multiplicity 4)

Computed properties:
energy relative to the elements, uncorrected = -0.477 eV per atom
DFT total energy = -4.3920 eV per atom
total moment = 0.000 μB per atom
E above lowest polymorph = 0.011 eV per atom

# 3
LaGdPaIn: optimized geometry, PBE.

a = 7.7097 Å, b = 7.7097 Å, c = 7.7097 Å
α = 90.00°, β = 90.00°, γ = 90.00°
Space group F-43m (No. 216)
Unique sites:
1 La 0.0000 0.0000 0.0000 (multiplicity 4)
2 Gd 0.0000 0.0000 0.5000 (multiplicity 4)
3 Pa 0.2500 0.2500 0.7500 (multiplicity 4)
4 In 0.2500 0.2500 0.2500 (multiplicity 4)

Computed properties:
formation energy = 0.13 eV/atom
DFT total energy = -7.6842 eV per atom
total moment = 2.009 μB per atom

# 4
GaRe2Br: optimized geometry, PBE.

a = 6.2686 Å, b = 6.2686 Å, c = 6.2686 Å
α = 90.00°, β = 90.00°, γ = 90.00°
Space group Fm-3m (No. 225)
Unique sites:
1 Ga 0.0000 0.0000 0.0000 (multiplicity 4)
2 Re 0.2500 0.2500 0.2500 (multiplicity 8)
3 Br 0.0000 0.0000 0.5000 (multiplicity 4)

Computed properties:
energy relative to the elements, uncorrected = 1.110 eV per atom
DFT total energy = -6.2890 eV per atom
total moment = 0.000 μB per atom
E above lowest polymorph = 0.000 eV per atom

# 5
Li3CdAg3Hg2: optimized geometry, PBE.

a = 8.1124 Å, b = 8.1124 Å, c = 3.0111 Å
α = 90.00°, β = 90.00°, γ = 120.00°
Space group P-62m (No. 189)
Unique sites:
1 Li 0.0000 0.3686 0.0000 (multiplicity 3)
2 Cd 0.0000 0.0000 0.0000 (multiplicity 1)
3 Ag 0.0000 0.6991 0.5000 (multiplicity 3)
4 Hg 0.3333 0.6667 0.5000 (multiplicity 2)

Computed properties:
formation energy = -0.20 eV/atom
DFT total energy = -1.9547 eV per atom
total moment = 0.000 μB per atom

# 6
Li3MgPd2O6: optimized geometry, PBE.

a = 5.2688 Å, b = 9.2160 Å, c = 5.1740 Å
α = 90.00°, β = 109.31°, γ = 90.00°
Space group C2/m (No. 12)
Unique sites:
1 Li 0.0000 0.0000 0.0000 (multiplicity 2)
2 Li 0.0000 0.3223 0.0000 (multiplicity 4)
3 Mg 0.0000 0.5000 0.5000 (multiplicity 2)
4 Pd 0.0000 0.1668 0.5000 (multiplicity 4)
5 O 0.2370 0.0000 0.7338 (multiplicity 4)
6 O 0.2456 0.3324 0.7333 (multiplicity 8)

Computed properties:
energy relative to the elements, uncorrected = -1.386 eV per atom
DFT total energy = -5.3420 eV per atom
total moment = 0.031 μB per atom